Entry 1:
# AsRuI

AsRuI after structural relaxation (PBE, the Alexandria database).

extended XYZ file:
```
6
Lattice="3.810 0.000 0.000 0.000 5.536 0.000 0.000 0.000 6.283" Properties=species:S:1:pos:R:3 pbc="T T T"
As 0.000 0.022 0.000
As 1.905 5.515 3.142
Ru 0.000 1.155 4.119
Ru 1.905 4.381 0.977
I 0.000 2.527 1.747
I 1.905 3.009 4.889
```

Values from the calculation:
ΔE_f (raw)   -0.062 eV per atom
Crystal system   orthorhombic
Electronic total energy   -15.66 eV/f.u.
Magnetic moment   0.000 μB/cell

Entry 2:
# SbAu7

SbAu7 after structural relaxation (PBE, the Alexandria database).

extended XYZ file:
```
8
Lattice="4.326 0.000 0.000 -2.160 4.743 0.000 -2.107 -1.039 7.404" Properties=species:S:1:pos:R:3 pbc="T T T"
Sb 0.000 0.000 0.000
Au -2.127 3.784 2.817
Au -2.123 2.718 5.515
Au 0.017 2.841 0.960
Au 0.029 1.852 3.702
Au 0.041 0.863 6.444
Au 2.182 0.986 1.889
Au 2.186 -0.080 4.587
```

Values from the calculation:
ΔE_f (raw)   0.025 eV per atom
Crystal system   triclinic
D(E_F)   0.222 states/eV per atom
Electronic total energy   -26.87 eV/f.u.
Magnetic moment   0.000 μB/cell

Entry 3:
# K2PaAgTe4

K2PaAgTe4 after structural relaxation (PBE, the Alexandria database).

extended XYZ file:
```
8
Lattice="7.784 0.000 0.000 0.000 4.543 0.000 -2.830 0.000 8.055" Properties=species:S:1:pos:R:3 pbc="T T T"
K 0.000 0.000 0.000
K 3.892 2.271 0.000
Pa -1.415 2.271 4.028
Ag 2.477 0.000 4.028
Te -0.302 0.000 5.741
Te 1.151 2.271 2.513
Te 3.803 2.271 5.542
Te 5.256 0.000 2.314
```

Values from the calculation:
ΔE_f (raw)   -0.776 eV per atom
Crystal system   monoclinic
D(E_F)   0.117 states/eV per atom
Electronic total energy   -33.32 eV/f.u.
Magnetic moment   0.053 μB/cell

Entry 4:
# B6WN6

B6WN6 after structural relaxation (PBE, the Alexandria database).

extended XYZ file:
```
13
Lattice="4.601 0.000 0.000 0.000 4.601 0.000 0.000 0.000 4.601" Properties=species:S:1:pos:R:3 pbc="T T T"
B 0.000 1.096 2.300
B 0.000 3.505 2.300
B 1.096 2.300 0.000
B 2.300 0.000 1.096
B 2.300 0.000 3.505
B 3.505 2.300 0.000
W 0.000 0.000 0.000
N 0.000 2.300 1.163
N 0.000 2.300 3.438
N 1.163 0.000 2.300
N 2.300 1.163 0.000
N 2.300 3.438 0.000
N 3.438 0.000 2.300
```

Values from the calculation:
ΔE_f (raw)   0.151 eV per atom
Crystal system   cubic
D(E_F)   0.379 states/eV per atom
Electronic total energy   -101.01 eV/f.u.
Magnetic moment   0.003 μB/cell

Entry 5:
# TaNi2Ag

TaNi2Ag after structural relaxation (PBE, the Alexandria database).

extended XYZ file:
```
4
Lattice="2.827 -3.615 0.000 2.827 3.615 0.000 0.000 0.000 2.795" Properties=species:S:1:pos:R:3 pbc="T T T"
Ta 0.000 0.000 0.000
Ni 1.414 1.807 1.397
Ni 1.414 -1.807 1.397
Ag 2.827 0.000 0.000
```

Values from the calculation:
Crystal system   orthorhombic
D(E_F)   0.797 states/eV per atom
Electronic total energy   -25.87 eV/f.u.
E above lowest polymorph   108 meV per atom
ΔH_f (0 K)   0.10 eV/atom
Magnetic moment   0.000 μB/cell

Entry 6:
# SnBi2P2

SnBi2P2 after structural relaxation (PBE, the Alexandria database).

extended XYZ file:
```
10
Lattice="8.098 0.000 0.000 0.000 8.098 0.000 0.000 0.000 3.871" Properties=species:S:1:pos:R:3 pbc="T T T"
Sn 0.000 0.000 0.000
Sn 4.049 4.049 0.000
Bi 1.282 2.767 1.935
Bi 2.767 6.816 1.935
Bi 5.331 1.282 1.935
Bi 6.816 5.331 1.935
P 1.387 5.436 0.000
P 2.662 1.387 0.000
P 5.436 6.711 0.000
P 6.711 2.662 0.000
```

Values from the calculation:
Crystal system   tetragonal
D(E_F)   0.614 states/eV per atom
Electronic total energy   -21.31 eV/f.u.
E above lowest polymorph   0 meV per atom
ΔH_f (0 K)   0.25 eV/atom
Magnetic moment   0.000 μB/cell

Entry 7:
# Nb4GeAs

Nb4GeAs after structural relaxation (PBE, the Alexandria database).

extended XYZ file:
```
6
Lattice="4.278 -1.726 0.000 4.278 1.726 0.000 -3.835 0.000 7.651" Properties=species:S:1:pos:R:3 pbc="T T T"
Nb -0.135 0.000 2.726
Nb 2.467 0.000 1.112
Nb 2.253 0.000 6.539
Nb 4.856 0.000 4.925
Ge 0.000 0.000 0.000
As 2.360 0.000 3.825
```

Values from the calculation:
Crystal system   monoclinic
D(E_F)   0.726 states/eV per atom
Electronic total energy   -49.58 eV/f.u.
E above lowest polymorph   243 meV per atom
ΔH_f (0 K)   -0.01 eV/atom
Magnetic moment   0.000 μB/cell

Entry 8:
# Rb3Tb3GaS8

Rb3Tb3GaS8 after structural relaxation (PBE, the Alexandria database).

extended XYZ file:
```
15
Lattice="3.978 2.296 7.864 -3.978 2.296 7.864 0.000 -4.593 7.864" Properties=species:S:1:pos:R:3 pbc="T T T"
Rb -1.989 -1.148 7.864
Rb -1.989 1.148 15.728
Rb 0.000 2.296 7.864
Tb -3.978 0.000 11.796
Tb -1.989 1.148 3.932
Tb 1.989 1.148 3.932
Ga 0.000 0.000 11.796
S 0.000 0.000 5.452
S -1.852 -1.069 13.215
S 0.000 -2.139 10.377
S -1.852 1.069 10.377
S 1.852 -1.069 13.215
S 0.000 2.139 13.215
S 1.852 1.069 10.377
S 0.000 0.000 18.140
```

Values from the calculation:
ΔE_f (raw)   -1.462 eV per atom
Crystal system   trigonal
D(E_F)   1.044 states/eV per atom
Electronic total energy   -74.78 eV/f.u.
Magnetic moment   0.000 μB/cell

Which of these has the lowest electronic total energy?
B6WN6

What did the eighth record say?
# Rb3Tb3GaS8

Rb3Tb3GaS8 after structural relaxation (PBE, the Alexandria database).

extended XYZ file:
```
15
Lattice="3.978 2.296 7.864 -3.978 2.296 7.864 0.000 -4.593 7.864" Properties=species:S:1:pos:R:3 pbc="T T T"
Rb -1.989 -1.148 7.864
Rb -1.989 1.148 15.728
Rb 0.000 2.296 7.864
Tb -3.978 0.000 11.796
Tb -1.989 1.148 3.932
Tb 1.989 1.148 3.932
Ga 0.000 0.000 11.796
S 0.000 0.000 5.452
S -1.852 -1.069 13.215
S 0.000 -2.139 10.377
S -1.852 1.069 10.377
S 1.852 -1.069 13.215
S 0.000 2.139 13.215
S 1.852 1.069 10.377
S 0.000 0.000 18.140
```

Values from the calculation:
ΔE_f (raw)   -1.462 eV per atom
Crystal system   trigonal
D(E_F)   1.044 states/eV per atom
Electronic total energy   -74.78 eV/f.u.
Magnetic moment   0.000 μB/cell